Entry a
YReMo2 after structural relaxation, computed with PBE.

Structure (CIF):
```
data_YReMo2
_cell_length_a 3.2001
_cell_length_b 3.2001
_cell_length_c 7.2096
_cell_angle_alpha 90.00
_cell_angle_beta 90.00
_cell_angle_gamma 90.00
_symmetry_space_group_name_H-M 'P 4/m m m'
_symmetry_Int_Tables_number 123
_symmetry_space_group_name_Hall '-P 4 2'
loop_
_atom_site_label
_atom_site_type_symbol
_atom_site_fract_x
_atom_site_fract_y
_atom_site_fract_z
_atom_site_occupancy
Y1 Y 0.0000 0.0000 0.0000 1
Re1 Re 0.0000 0.0000 0.5000 1
Mo1 Mo 0.5000 0.5000 0.2961 1
```

***

Entry b
YReMo2 after structural relaxation, computed with PBE.

Structure (CIF):
```
data_YReMo2
_cell_length_a 3.2267
_cell_length_b 4.6844
_cell_length_c 9.3586
_cell_angle_alpha 90.00
_cell_angle_beta 90.00
_cell_angle_gamma 90.00
_symmetry_space_group_name_H-M 'C m m 2'
_symmetry_Int_Tables_number 35
loop_
_symmetry_equiv_pos_as_xyz
'x,y,z'
'-x,-y,z'
'-x,y,z'
'x,-y,z'
'x+1/2,y+1/2,z'
'-x+1/2,-y+1/2,z'
'-x+1/2,y+1/2,z'
'x+1/2,-y+1/2,z'
loop_
_atom_site_label
_atom_site_type_symbol
_atom_site_fract_x
_atom_site_fract_y
_atom_site_fract_z
_atom_site_occupancy
Y1 Y 0.0000 0.0000 0.0000 1
Re1 Re 0.0000 0.5000 0.2692 1
Mo1 Mo 0.0000 0.0000 0.4935 1
Mo2 Mo 0.0000 0.5000 0.7208 1
```

***

Entry c
YReMo2 after structural relaxation, computed with PBE.

Structure (CIF):
```
data_YReMo2
_cell_length_a 3.2148
_cell_length_b 3.2148
_cell_length_c 7.1100
_cell_angle_alpha 90.00
_cell_angle_beta 90.00
_cell_angle_gamma 90.00
_symmetry_space_group_name_H-M 'P 4 m m'
_symmetry_Int_Tables_number 99
loop_
_symmetry_equiv_pos_as_xyz
'x,y,z'
'-y,x,z'
'-x,-y,z'
'y,-x,z'
'-x,y,z'
'y,x,z'
'x,-y,z'
'-y,-x,z'
loop_
_atom_site_label
_atom_site_type_symbol
_atom_site_fract_x
_atom_site_fract_y
_atom_site_fract_z
_atom_site_occupancy
Y1 Y 0.0000 0.0000 0.0000 1
Re1 Re 0.5000 0.5000 0.7081 1
Mo1 Mo 0.0000 0.0000 0.5057 1
Mo2 Mo 0.5000 0.5000 0.2964 1
```

***

Stability, highest: entry c

***

Entry a
YReMo after structural relaxation, computed with PBE.

Structure (CIF):
```
data_YReMo
_cell_length_a 6.4299
_cell_length_b 6.4299
_cell_length_c 6.4299
_cell_angle_alpha 90.00
_cell_angle_beta 90.00
_cell_angle_gamma 90.00
_symmetry_space_group_name_H-M 'F -4 3 m'
_symmetry_Int_Tables_number 216
_symmetry_space_group_name_Hall 'F -4 2 3'
loop_
_atom_site_label
_atom_site_type_symbol
_atom_site_fract_x
_atom_site_fract_y
_atom_site_fract_z
_atom_site_occupancy
Y1 Y 0.0000 0.0000 0.0000 1
Re1 Re 0.2500 0.2500 0.7500 1
Mo1 Mo 0.2500 0.2500 0.2500 1
```

***

Entry b
YReMo after structural relaxation, computed with PBE.

Structure (CIF):
```
data_YReMo
_cell_length_a 3.2811
_cell_length_b 4.8323
_cell_length_c 14.1016
_cell_angle_alpha 90.00
_cell_angle_beta 90.00
_cell_angle_gamma 90.00
_symmetry_space_group_name_H-M 'F m m 2'
_symmetry_Int_Tables_number 42
_symmetry_space_group_name_Hall 'F 2 -2'
loop_
_atom_site_label
_atom_site_type_symbol
_atom_site_fract_x
_atom_site_fract_y
_atom_site_fract_z
_atom_site_occupancy
Y1 Y 0.0000 0.0000 0.0000 1
Re1 Re 0.0000 0.0000 0.6765 1
Mo1 Mo 0.0000 0.0000 0.3163 1
```

***

Entry c
YReMo after structural relaxation, computed with PBE.

Structure (CIF):
```
data_YReMo
_cell_length_a 4.6047
_cell_length_b 4.6047
_cell_length_c 3.0343
_cell_angle_alpha 90.00
_cell_angle_beta 90.00
_cell_angle_gamma 120.00
_symmetry_space_group_name_H-M 'P 3 m 1'
_symmetry_Int_Tables_number 156
loop_
_symmetry_equiv_pos_as_xyz
'x,y,z'
'-y,x-y,z'
'-x+y,-x,z'
'-y,-x,z'
'-x+y,y,z'
'x,x-y,z'
loop_
_atom_site_label
_atom_site_type_symbol
_atom_site_fract_x
_atom_site_fract_y
_atom_site_fract_z
_atom_site_occupancy
Y1 Y 0.0000 0.0000 0.0000 1
Re1 Re 0.3333 0.6667 0.6171 1
Mo1 Mo 0.6667 0.3333 0.3654 1
```

***

Stability, highest: entry c